Material: Sr2ReNiO6
Method: DFT, PBE+U
State: relaxed

POSCAR file:
```
Sr2ReNiO6
1.0
5.593 0.000 0.000
0.001 5.594 0.000
2.796 2.796 4.024
Sr Re Ni O
2 1 1 6
Cartesian
1.397 1.398 0.000
6.993 6.991 4.023
1.398 4.195 2.012
4.195 1.398 2.012
2.536 5.759 2.009
1.392 4.198 0.065
2.962 3.057 2.006
5.428 5.332 2.018
6.999 4.192 3.959
5.854 2.630 2.014
```

Properties
The density is 6.81 g/cm3. Its final energy is -6.914 eV per atom.